# 1
Here is crystalline InGa7Sn2 at its relaxed geometry from the Alexandria database. Energies are from PBE-GGA.

POSCAR file:
```
InGa7Sn2
1.0
-0.9099 -3.7140 0.7698
4.2864 0.0449 5.2834
-8.6329 2.6541 2.6007
In Ga Sn
1 7 2
Direct
0.0000 0.0000 0.0000
0.0000 0.6150 0.2301
0.0000 0.3850 0.7699
0.5000 0.6906 0.7857
0.5000 0.3094 0.2143
0.5000 0.9049 0.2143
0.5000 0.0951 0.7857
0.5000 0.5000 0.0000
0.5000 0.7417 0.4834
0.5000 0.2583 0.5165
```

SG = No. 65

---

# 2
Here is crystalline In3GaSn at its relaxed geometry from the Alexandria database. Energies are from PBE-GGA.

POSCAR file:
```
In3GaSn
1.0
-3.8766 0.8865 3.0402
-2.6174 -2.9961 -7.1120
0.4962 -6.2865 2.4657
In Ga Sn
6 2 2
Direct
0.1113 0.7135 0.5003
0.8887 0.2865 0.4997
0.1113 0.7135 0.9997
0.8887 0.2865 0.0003
0.2924 0.0978 0.7500
0.7076 0.9022 0.2500
0.6866 0.8935 0.7500
0.3134 0.1065 0.2500
0.5049 0.5101 0.7500
0.4951 0.4899 0.2500
```

SG = No. 11
ΔE to the lowest computed polymorph = 0 meV per atom

---

# 3
Here is crystalline In6GaSn5 at its relaxed geometry from the Alexandria database. Energies are from PBE-GGA.

POSCAR file:
```
In6GaSn5
1.0
-2.9256 0.6540 3.6561
-5.4815 -0.5734 -7.3041
4.3686 -7.8186 1.8738
Sn Ga In
5 1 6
Direct
0.5000 0.1751 0.8249
0.0000 0.3406 0.6594
0.5000 0.5000 0.5000
0.0000 0.6594 0.3406
0.5000 0.8249 0.1751
0.0000 0.0000 0.0000
0.2441 0.0809 0.4072
0.7559 0.5928 0.9191
0.7301 0.2294 0.2294
0.2699 0.7706 0.7706
0.2441 0.4072 0.0809
0.7559 0.9191 0.5928
```

SG = No. 12

---

# 4
Here is crystalline InGa3Sn3 at its relaxed geometry from the Alexandria database. Energies are from PBE-GGA.

POSCAR file:
```
InGa3Sn3
1.0
6.3941 0.0001 1.9112
2.9115 5.6927 1.9112
0.5599 0.3426 9.7784
In Ga Sn
2 6 6
Direct
0.6750 0.6750 0.9749
0.3250 0.3250 0.0251
0.2667 0.7975 0.8507
0.7975 0.0851 0.8507
0.0851 0.2667 0.8507
0.9149 0.7333 0.1493
0.2025 0.9149 0.1493
0.7333 0.2025 0.1493
0.2960 0.4447 0.3629
0.8964 0.2960 0.3629
0.4447 0.8964 0.3629
0.5553 0.1036 0.6371
0.1036 0.7040 0.6371
0.7040 0.5553 0.6371
```

SG = No. 148
ΔE to the lowest computed polymorph = 0 meV per atom

---

The evaluated E for the records listed, in turn: -3.1042, -3.0031, -3.2511, -3.3453 eV/atom.
The evaluated formation energy for the records listed, in turn: 0.09, 0.05, 0.04, 0.06 eV/atom.
The evaluated magnetization for the records listed, in turn: 0.0, 0.0, 0.0, 0.0 μB per cell.